Entry 1:
Density functional theory data (PBE-GGA) for crystalline Ba2In15Bi2 at its relaxed geometry.

Geometry as CIF:
```
data_Ba2In15Bi2
_space_group_name_H-M_alt 'P 1'
_space_group_IT_number 1
_cell_length_a 8.3981
_cell_length_b 8.3981
_cell_length_c 8.3981
_cell_angle_alpha 81.26
_cell_angle_beta 81.26
_cell_angle_gamma 81.26
loop_
_space_group_symop_operation_xyz
'x,y,z'
loop_
_atom_site_label
_atom_site_fract_x
_atom_site_fract_y
_atom_site_fract_z
Ba1 0.1571 0.1571 0.1571
Ba2 0.8429 0.8429 0.8429
In1 0.0000 0.5000 0.5000
In2 0.1393 0.1393 0.6548
In3 0.1393 0.6548 0.1393
In4 0.2071 0.5000 0.7929
In5 0.2071 0.7929 0.5000
In6 0.3452 0.8607 0.8607
In7 0.5000 0.0000 0.5000
In8 0.5000 0.2071 0.7929
In9 0.5000 0.5000 0.0000
In10 0.5000 0.7929 0.2071
In11 0.6548 0.1393 0.1393
In12 0.7929 0.2071 0.5000
In13 0.7929 0.5000 0.2071
In14 0.8607 0.3452 0.8607
In15 0.8607 0.8607 0.3452
Bi1 0.3864 0.3864 0.3864
Bi2 0.6136 0.6136 0.6136
```

Computed properties:
The calculation puts the volume at 573.6 Å³ per cell. The density comes out at 6.99 g cm⁻³. The total magnetization is 0.0 μB per formula unit. As for the density of states at the Fermi level: 0.440 states/eV/atom. As for the symmetry: R-3m (166). As for the calculated formation energy: -0.130 eV/atom. The total energy is -2.90 eV/atom.

=====

Entry 2:
Density functional theory data (PBE-GGA) for crystalline Ac2CuPd12Au3 at its relaxed geometry.

Geometry as CIF:
```
data_Ac2CuPd12Au3
_space_group_name_H-M_alt 'P 1'
_space_group_IT_number 1
_cell_length_a 9.8037
_cell_length_b 9.8037
_cell_length_c 9.8037
_cell_angle_alpha 41.09
_cell_angle_beta 41.09
_cell_angle_gamma 41.09
loop_
_space_group_symop_operation_xyz
'x,y,z'
loop_
_atom_site_label
_atom_site_fract_x
_atom_site_fract_y
_atom_site_fract_z
Ac1 0.1559 0.1559 0.1559
Ac2 0.8441 0.8441 0.8441
Cu1 0.5000 0.5000 0.5000
Pd1 0.0742 0.0742 0.6875
Pd2 0.0742 0.6875 0.0742
Pd3 0.1490 0.5790 0.5790
Pd4 0.3125 0.9258 0.9258
Pd5 0.4210 0.4210 0.8510
Pd6 0.4210 0.8510 0.4210
Pd7 0.5790 0.1490 0.5790
Pd8 0.5790 0.5790 0.1490
Pd9 0.6875 0.0742 0.0742
Pd10 0.8510 0.4210 0.4210
Pd11 0.9258 0.3125 0.9258
Pd12 0.9258 0.9258 0.3125
Au1 0.0000 0.5000 0.5000
Au2 0.5000 0.0000 0.5000
Au3 0.5000 0.5000 0.0000
```

Computed properties:
The calculation puts the volume at 367.5 Å³ per cell. The density comes out at 10.78 g cm⁻³. The total magnetization is 0.0 μB per formula unit. As for the density of states at the Fermi level: 0.795 states/eV/atom. As for the symmetry: R-3m (166). As for the calculated formation energy: -0.052 eV/atom. The total energy is -4.74 eV/atom.

=====

Entry 3:
Density functional theory data (PBE-GGA) for crystalline K5CaSb2 at its relaxed geometry.

Geometry as CIF:
```
data_K5CaSb2
_space_group_name_H-M_alt 'P 1'
_space_group_IT_number 1
_cell_length_a 6.2929
_cell_length_b 6.2929
_cell_length_c 21.8370
_cell_angle_alpha 90.18
_cell_angle_beta 90.18
_cell_angle_gamma 59.90
loop_
_space_group_symop_operation_xyz
'x,y,z'
loop_
_atom_site_label
_atom_site_fract_x
_atom_site_fract_y
_atom_site_fract_z
K1 0.0007 0.0007 0.1275
K2 0.0014 0.0014 0.6303
K3 0.3334 0.3334 0.7244
K4 0.3330 0.3330 0.9433
K5 0.3339 0.3339 0.5457
K6 0.6661 0.6661 0.4543
K7 0.6670 0.6670 0.0567
K8 0.6666 0.6666 0.2756
K9 0.9986 0.9986 0.3697
K10 0.9993 0.9993 0.8725
Ca1 0.3332 0.3332 0.2421
Ca2 0.6668 0.6668 0.7579
Sb1 0.3317 0.3317 0.3822
Sb2 0.3341 0.3341 0.1068
Sb3 0.6659 0.6659 0.8932
Sb4 0.6683 0.6683 0.6178
```

Computed properties:
The calculation puts the volume at 748.1 Å³ per cell. The density comes out at 2.13 g cm⁻³. For the uncorrected formation energy, the calculation gives -0.36 eV per atom. The total magnetization is 0.0 μB per formula unit. As for the density of states at the Fermi level: 0.381 states/eV/atom. As for the symmetry: C2/m (12). The total energy is -2.32 eV/atom.

=====

Entry 4:
Density functional theory data (PBE-GGA) for crystalline RbTlHg2Rh at its relaxed geometry.

Geometry as CIF:
```
data_RbTlHg2Rh
_space_group_name_H-M_alt 'P 1'
_space_group_IT_number 1
_cell_length_a 5.4247
_cell_length_b 5.4247
_cell_length_c 5.2554
_cell_angle_alpha 90.00
_cell_angle_beta 90.00
_cell_angle_gamma 90.00
loop_
_space_group_symop_operation_xyz
'x,y,z'
loop_
_atom_site_label
_atom_site_fract_x
_atom_site_fract_y
_atom_site_fract_z
Rb1 0.0000 0.0000 0.0000
Tl1 0.5000 0.5000 0.0000
Hg1 0.0000 0.5000 0.5000
Hg2 0.5000 0.0000 0.5000
Rh1 0.5000 0.5000 0.5000
```

Computed properties:
The calculation puts the volume at 154.7 Å³ per cell. The density comes out at 8.52 g cm⁻³. The total magnetization is 0.0 μB per formula unit. For the energy above the most stable polymorph in this dataset, the calculation gives 0.000 eV per formula unit. As for the density of states at the Fermi level: 0.336 states/eV/atom. As for the symmetry: P4/mmm (123). As for the calculated formation energy: -0.163 eV/atom. The total energy is -2.42 eV/atom.

=====

Which value of volume does entry 1 give? 573.6 Å³ per cell